Here is a geometry-optimized RbSrLaCl6 structure from the Alexandria database. Energies are from GGA-PBE.

abc: 7.5976 7.5976 13.8236
angles: 90.00 90.00 120.00
Space group P-31c (No. 163)
Inequivalent atoms, fractional coordinates:
Rb  0.0000  0.0000  0.0000
Sr  0.3333  0.6667  0.2500
La  0.3333  0.6667  0.7500
Cl  0.0110  0.3741  0.6383

Total magnetic moment in μB per cell: 0.0
Theoretical density in g cm⁻³: 2.5
Uncorrected formation energy in eV per atom: -2.3393